DFT (PBE) results for an optimized crystal structure of NaYIN2.

Cell: 4.5232 4.5232 6.4359 Å, 90.00 90.00 90.00°
Last column: nearest neighbours and their distance in Å.
Positions (direct):
Na: 0.5000 0.5000 0.5000  4 I 3.20
Y: 0.0000 0.0000 0.0000  4 N 2.26
N: 0.5000 0.0000 0.0000  2 Y 2.26
N: 0.0000 0.5000 0.0000  2 Y 2.26
I: 0.0000 0.0000 0.5000  4 Na 3.20, 2 Y 3.22

Output
The crystal system is tetragonal. The value obtained for the formation energy from raw total energies is 0.164 eV/atom. Its space group is P4/mmm (123). The total moment comes out at 3.007 Bohr magnetons per cell. The calculation puts the polymorph energy (0 for the lowest one) at 0.0 kJ/mol of formula units.